Entry 1:
VASP calculation (PBE-GGA) on a relaxed structure of Tb2DyCd5.

Cell and atoms, written as POSCAR:
```
Tb2DyCd5
1.0
-2.565 2.565 7.538
2.565 -2.565 7.538
2.565 2.565 -7.538
Tb Dy Cd
2 1 5
Direct
0.239 0.239 0.000
0.761 0.761 0.000
0.500 0.500 0.000
0.000 0.000 0.000
0.119 0.619 0.500
0.381 0.881 0.500
0.619 0.119 0.500
0.881 0.381 0.500
```

Values from the calculation:
**ΔH_f (0 K)**: -0.30 eV per atom
**ρ**: 8.7 g cm⁻³

Entry 2:
VASP calculation (PBE-GGA) on a relaxed structure of Tb3Co2Ge4.

Cell and atoms, written as POSCAR:
```
Tb3Co2Ge4
1.0
5.375 -2.064 0.000
5.375 2.064 0.000
-1.796 0.000 7.975
Tb Co Ge
3 2 4
Direct
0.000 0.000 0.000
0.339 0.339 0.343
0.661 0.661 0.657
0.394 0.394 0.719
0.606 0.606 0.281
0.061 0.061 0.377
0.281 0.281 0.926
0.719 0.719 0.074
0.939 0.939 0.623
```

Values from the calculation:
**ΔH_f (0 K)**: -0.65 eV per atom
**ρ**: 8.3 g cm⁻³
**ΔE to the lowest computed polymorph**: 0.072 eV per atom

- Which of these has the highest ρ?
  Tb2DyCd5

- Which value of ρ does entry 1 give?
  8.7 g cm⁻³